YZrZnRu2 | PBE | relaxed

Computed properties:
Crystal system: tetragonal
Space-group type: P4/mmm (123)
ΔH_f (0 K) in eV per formula unit: 3.19
Magnetic moment in Bohr magnetons per cell: 0.00

Structure (POSCAR):
```
YZrZnRu2
1.0
4.780 0.000 0.000
0.000 5.040 0.000
0.000 0.000 4.780
Y Ru Zn Zr
1 2 1 1
Cartesian
2.390 2.520 2.390
0.000 0.000 2.390
2.390 0.000 0.000
0.000 2.520 0.000
0.000 0.000 0.000
```